--- A ---
DFT (PBE) results for Mg3AgSn after structural relaxation.

It has space group Pm (No. 6), with a = 6.927 Å, b = 4.398 Å, c = 7.093 Å, α = 90.00°, β = 92.53° and γ = 90.00°. The inequivalent atoms are Mg at (0.000, 0.000, 0.000), Mg at (0.086, 0.500, 0.714), Mg at (0.200, 0.000, 0.423), Mg at (0.322, 0.500, 0.115), Mg at (0.438, 0.000, 0.827), Mg at (0.621, 0.000, 0.240), Ag at (0.705, 0.500, 0.929), Ag at (0.817, 0.000, 0.632), Sn at (0.502, 0.500, 0.532) and Sn at (0.925, 0.500, 0.301).

Its crystal system is monoclinic.

---

--- B ---
DFT (PBE) results for Mg3AgSn after structural relaxation.

It has space group Pm (No. 6), with a = 3.128 Å, b = 9.150 Å, c = 7.849 Å, α = 90.00°, β = 90.19° and γ = 90.00°. The inequivalent atoms are Mg at (0.000, 0.000, 0.000), Mg at (0.001, 0.500, 0.139), Mg at (0.003, 0.200, 0.367), Mg at (0.999, 0.300, 0.772), Ag at (0.500, 0.250, 0.070), Sn at (0.501, 0.500, 0.508) and Sn at (0.502, 0.000, 0.631).

Its crystal system is monoclinic.

---

Which one sits at the bottom of the stability order? A does.

---

--- A ---
DFT (PBE) results for Sr3Mg2Ag4 after structural relaxation.

It has space group C2/m (No. 12), with a = 11.525 Å, b = 4.751 Å, c = 9.479 Å, α = 90.00°, β = 98.88° and γ = 90.00°. The inequivalent atoms are Sr at (0.000, 0.000, 0.000), Sr at (0.125, 0.500, 0.383), Mg at (0.181, 0.500, 0.783), Ag at (0.085, 0.000, 0.637) and Ag at (0.230, 0.500, 0.083).

Its crystal system is monoclinic.

---

--- B ---
DFT (PBE) results for Sr3Mg2Ag4 after structural relaxation.

It has space group C2/m (No. 12), with a = 12.033 Å, b = 4.838 Å, c = 9.365 Å, α = 90.00°, β = 111.21° and γ = 90.00°. The inequivalent atoms are Sr at (0.000, 0.000, 0.000), Sr at (0.130, 0.500, 0.700), Mg at (0.178, 0.500, 0.349), Ag at (0.086, 0.000, 0.419) and Ag at (0.225, 0.500, 0.071).

Its crystal system is monoclinic.

---

Which one sits at the bottom of the stability order? B does.

---

--- A ---
DFT (PBE) results for SrMg4Ag after structural relaxation.

It has space group F-43m (No. 216), with a = 8.545 Å, b = 8.545 Å, c = 8.545 Å, α = 90.00°, β = 90.00° and γ = 90.00°. The inequivalent atoms are Sr at (0.000, 0.000, 0.000), Mg at (0.124, 0.124, 0.376) and Ag at (0.250, 0.250, 0.750).

Its crystal system is cubic.

---

--- B ---
DFT (PBE) results for SrMg4Ag after structural relaxation.

It has space group Pmma (No. 51), with a = 8.930 Å, b = 4.512 Å, c = 7.832 Å, α = 90.00°, β = 90.00° and γ = 90.00°. The inequivalent atoms are Sr at (0.250, 0.000, 0.104), Mg at (0.000, 0.000, 0.500), Mg at (0.059, 0.500, 0.794), Mg at (0.250, 0.500, 0.453) and Ag at (0.250, 0.000, 0.696).

Its crystal system is orthorhombic.

---

Which one sits at the bottom of the stability order? A does.

---

--- A ---
DFT (PBE) results for Sr3Mg4Ag4 after structural relaxation.

It has space group Immm (No. 71), with a = 4.622 Å, b = 8.182 Å, c = 15.647 Å, α = 90.00°, β = 90.00° and γ = 90.00°. The inequivalent atoms are Sr at (0.000, 0.000, 0.000), Sr at (0.000, 0.500, 0.123), Mg at (0.000, 0.308, 0.324), Ag at (0.000, 0.000, 0.221) and Ag at (0.000, 0.187, 0.500).

Its crystal system is orthorhombic.

---

--- B ---
DFT (PBE) results for Sr3Mg4Ag4 after structural relaxation.

It has space group I-43m (No. 217), with a = 8.547 Å, b = 8.547 Å, c = 8.547 Å, α = 90.00°, β = 90.00° and γ = 90.00°. The inequivalent atoms are Sr at (0.000, 0.000, 0.500), Mg at (0.130, 0.130, 0.870) and Ag at (0.189, 0.189, 0.189).

Its crystal system is cubic.

---

Which one sits at the bottom of the stability order? B does.